The following is a DFT calculation (PBE) of a relaxed MnAlTl2 crystal.

## Properties
Total moment   3.823 μB per formula unit
Polymorph energy (0 for the lowest one)   5.939 kcal/mol of atoms
Formation energy   488 meV per atom
Space-group type   Cmmm
Volume   22.74 Å³/atom

a b c (Å): 3.197 3.197 9.842
angles (deg): 90.00 90.00 115.30
Last column: magnetic moment on the atom in μB.
Fractional coordinates of all 4 atoms:
Tl: 0.000 0.000 0.990  -0.02
Tl: 0.000 0.000 0.510  -0.02
Mn: 0.500 0.500 0.750  3.79
Al: 0.500 0.500 0.250  0.00

The following is a DFT calculation (PBE) of a relaxed CsBa2CoSb crystal.

## Properties
Total moment   0.000 μB per formula unit
Uncorrected formation energy   17.2 kJ/mol of atoms
Space-group type   P4/mmm
Volume   45.53 Å³/atom

a b c (Å): 6.844 6.844 4.860
angles (deg): 90.00 90.00 90.00
Fractional coordinates of all 5 atoms:
Ba: 0.000 0.500 0.000
Ba: 0.500 0.000 0.000
Cs: 0.500 0.500 0.500
Sb: 0.000 0.000 0.000
Co: 0.000 0.000 0.500

The following is a DFT calculation (PBE) of a relaxed ReTe4Pt crystal.

## Properties
Total moment   3.853 μB per formula unit
Uncorrected formation energy   152.2 kJ/mol of atoms
Space-group type   F-43m
Volume   26.66 Å³/atom

a b c (Å): 6.093 6.093 6.093
angles (deg): 60.00 60.00 60.00
Last column: magnetic moment on the atom in μB.
Fractional coordinates of all 6 atoms:
Te: 0.874 0.375 0.375  -0.03
Te: 0.375 0.375 0.375  -0.03
Te: 0.375 0.874 0.375  -0.03
Pt: 0.750 0.750 0.750  -0.03
Re: 0.000 0.000 0.000  3.44
Te: 0.375 0.375 0.874  -0.03

The following is a DFT calculation (PBE) of a relaxed Dy3Ho2S8 crystal.

## Properties
Total moment   0.000 μB per formula unit
Uncorrected formation energy   -181.0 kJ/mol of atoms
Space-group type   C2/m
Volume   25.98 Å³/atom

a b c (Å): 6.679 7.898 7.883
angles (deg): 120.06 107.38 90.00
Fractional coordinates of all 13 atoms:
Dy: 0.500 0.000 0.000
S: 0.906 0.619 0.238
S: 0.415 0.359 0.250
Dy: 0.000 0.263 0.000
Dy: 0.000 0.737 0.000
S: 0.415 0.891 0.250
Ho: 0.658 0.738 0.476
S: 0.585 0.641 0.750
S: 0.930 0.118 0.235
S: 0.094 0.381 0.762
S: 0.070 0.882 0.765
Ho: 0.342 0.262 0.524
S: 0.585 0.109 0.750

The following is a DFT calculation (PBE) of a relaxed Co9Ni11Rh4 crystal.

## Properties
Total moment   26.536 μB per formula unit
Formation energy   73 meV per atom
Space-group type   Cmmm
Volume   11.71 Å³/atom

a b c (Å): 10.972 10.972 2.551
angles (deg): 90.00 90.00 113.75
Last column: magnetic moment on the atom in μB.
Fractional coordinates of all 24 atoms:
Co: 0.996 0.801 0.500  1.75
Ni: 0.807 0.193 0.000  0.73
Rh: 0.241 0.408 0.500  0.76
Rh: 0.759 0.592 0.500  0.76
Ni: 0.000 0.000 0.000  0.74
Rh: 0.592 0.759 0.500  0.76
Rh: 0.408 0.241 0.500  0.76
Ni: 0.379 0.621 0.000  0.71
Ni: 0.621 0.379 0.000  0.71
Co: 0.607 0.176 0.500  1.81
Co: 0.004 0.199 0.500  1.75
Co: 0.199 0.004 0.500  1.75
Ni: 0.975 0.600 0.000  0.78
Ni: 0.025 0.400 0.000  0.78
Ni: 0.193 0.807 0.000  0.73
Ni: 0.400 0.025 0.000  0.78
Co: 0.393 0.824 0.500  1.81
Co: 0.176 0.607 0.500  1.81
Ni: 0.195 0.195 0.000  0.71
Co: 0.500 0.500 0.500  1.95
Ni: 0.600 0.975 0.000  0.78
Co: 0.824 0.393 0.500  1.81
Co: 0.801 0.996 0.500  1.75
Ni: 0.805 0.805 0.000  0.71

The following is a DFT calculation (PBE) of a relaxed CdSbPCl2 crystal.

## Properties
Total moment   0.000 μB per formula unit
Polymorph energy (0 for the lowest one)   0.000 kcal/mol of atoms
Uncorrected formation energy   7.2 kJ/mol of atoms
Space-group type   P4/mmm
Volume   29.04 Å³/atom

a b c (Å): 5.181 5.181 5.409
angles (deg): 90.00 90.00 90.00
Fractional coordinates of all 5 atoms:
Sb: 0.000 0.000 0.000
Cl: 0.000 0.500 0.000
Cd: 0.500 0.500 0.500
P: 0.000 0.000 0.500
Cl: 0.500 0.000 0.000

The following is a DFT calculation (PBE) of a relaxed SiTePd crystal.

## Properties
Total moment   0.000 μB per formula unit
Polymorph energy (0 for the lowest one)   0.034 kcal/mol of atoms
Uncorrected formation energy   -20.0 kJ/mol of atoms
Space-group type   P2_1/c
Volume   22.85 Å³/atom

a b c (Å): 5.715 6.509 7.390
angles (deg): 85.73 90.00 90.00
Fractional coordinates of all 12 atoms:
Pd: 0.927 0.777 0.835
Te: 0.267 0.621 0.613
Te: 0.733 0.379 0.387
Te: 0.233 0.621 0.113
Si: 0.098 0.111 0.847
Pd: 0.427 0.223 0.665
Te: 0.767 0.379 0.887
Si: 0.902 0.889 0.153
Si: 0.598 0.889 0.653
Si: 0.402 0.111 0.347
Pd: 0.573 0.777 0.335
Pd: 0.073 0.223 0.165

The following is a DFT calculation (PBE) of a relaxed Th12Hg3Pt5 crystal.

## Properties
Total moment   0.002 μB per formula unit
Formation energy   -203 meV per atom
Space-group type   Ia-3d
Volume   33.43 Å³/atom

a b c (Å): 15.145 15.145 15.145
angles (deg): 109.47 109.47 109.47
Fractional coordinates of all 80 atoms:
Th: 0.216 0.671 0.088
Pt: 0.750 0.125 0.875
Th: 0.588 0.716 0.671
Th: 0.284 0.872 0.956
Th: 0.372 0.956 0.784
Th: 0.416 0.044 0.329
Th: 0.216 0.544 0.628
Pt: 0.625 0.750 0.875
Pt: 0.500 0.000 0.000
Pt: 0.375 0.250 0.125
Th: 0.872 0.588 0.916
Th: 0.044 0.628 0.716
Th: 0.044 0.416 0.829
Hg: 0.375 0.625 0.250
Th: 0.584 0.956 0.671
Th: 0.829 0.912 0.284
Th: 0.171 0.084 0.956
Hg: 0.750 0.875 0.625
Pt: 0.875 0.625 0.750
Th: 0.916 0.829 0.544
Pt: 0.000 0.000 0.000
Th: 0.084 0.912 0.128
Pt: 0.500 0.500 0.000
Pt: 0.250 0.875 0.125
Pt: 0.500 0.500 0.500
Th: 0.088 0.916 0.372
Hg: 0.625 0.375 0.750
Pt: 0.625 0.875 0.250
Pt: 0.750 0.625 0.375
Th: 0.412 0.284 0.329
Pt: 0.125 0.750 0.375
Hg: 0.875 0.750 0.125
Hg: 0.875 0.125 0.250
Th: 0.912 0.829 0.784
Th: 0.956 0.372 0.284
Th: 0.671 0.216 0.588
Hg: 0.250 0.125 0.375
Th: 0.829 0.916 0.044
Th: 0.372 0.416 0.088
Hg: 0.125 0.250 0.875
Pt: 0.250 0.375 0.625
Pt: 0.500 0.000 0.500
Th: 0.716 0.588 0.171
Th: 0.128 0.412 0.084
Th: 0.912 0.084 0.628
Th: 0.329 0.784 0.412
Th: 0.088 0.171 0.216
Th: 0.916 0.088 0.872
Th: 0.456 0.671 0.084
Th: 0.956 0.584 0.171
Hg: 0.750 0.375 0.125
Pt: 0.125 0.375 0.250
Hg: 0.625 0.250 0.375
Pt: 0.000 0.500 0.000
Th: 0.671 0.456 0.584
Th: 0.456 0.784 0.872
Th: 0.171 0.088 0.716
Th: 0.584 0.628 0.412
Pt: 0.375 0.125 0.750
Th: 0.628 0.584 0.912
Pt: 0.875 0.250 0.625
Th: 0.716 0.128 0.044
Th: 0.784 0.456 0.372
Hg: 0.125 0.875 0.750
Th: 0.544 0.329 0.916
Th: 0.784 0.329 0.912
Th: 0.872 0.284 0.456
Hg: 0.375 0.750 0.625
Pt: 0.000 0.000 0.500
Th: 0.544 0.216 0.128
Th: 0.284 0.412 0.829
Hg: 0.250 0.625 0.875
Th: 0.628 0.044 0.216
Th: 0.416 0.372 0.588
Th: 0.084 0.171 0.456
Th: 0.412 0.128 0.584
Th: 0.588 0.872 0.416
Pt: 0.000 0.500 0.500
Th: 0.128 0.716 0.544
Th: 0.329 0.544 0.416

The following is a DFT calculation (PBE) of a relaxed MnFeCoSb2 crystal.

## Properties
Total moment   6.104 μB per formula unit
Uncorrected formation energy   87.0 kJ/mol of atoms
Space-group type   P4/mmm
Volume   20.94 Å³/atom

a b c (Å): 4.755 4.630 4.755
angles (deg): 90.00 90.00 90.00
Last column: magnetic moment on the atom in μB.
Fractional coordinates of all 5 atoms:
Sb: 0.500 0.000 0.000  -0.02
Co: 0.500 0.500 0.500  1.78
Fe: 0.000 0.000 0.000  0.16
Sb: 0.000 0.000 0.500  -0.01
Mn: 0.000 0.500 0.000  4.00

The following is a DFT calculation (PBE) of a relaxed Sr2Li12TlZn3 crystal.

## Properties
Total moment   0.000 μB per formula unit
Formation energy   8 meV per atom
Space-group type   R-3m
Volume   22.43 Å³/atom

a b c (Å): 7.408 7.408 7.408
angles (deg): 85.96 85.96 85.96
Fractional coordinates of all 18 atoms:
Li: 0.188 0.188 0.722
Li: 0.188 0.722 0.188
Sr: 0.255 0.255 0.255
Li: 0.150 0.581 0.581
Zn: 0.000 0.500 0.000
Li: 0.812 0.812 0.278
Li: 0.850 0.419 0.419
Tl: 0.000 0.000 0.000
Li: 0.419 0.419 0.850
Zn: 0.500 0.000 0.000
Li: 0.581 0.581 0.150
Li: 0.722 0.188 0.188
Li: 0.419 0.850 0.419
Zn: 0.000 0.000 0.500
Li: 0.278 0.812 0.812
Li: 0.581 0.150 0.581
Sr: 0.745 0.745 0.745
Li: 0.812 0.278 0.812

The following is a DFT calculation (PBE) of a relaxed LiLaHg crystal.

## Properties
Total moment   0.000 μB per formula unit
Polymorph energy (0 for the lowest one)   0.000 kcal/mol of atoms
Formation energy   -356 meV per atom
Space-group type   P-62m
Volume   26.40 Å³/atom

a b c (Å): 4.841 7.529 7.529
angles (deg): 120.00 90.00 90.00
Fractional coordinates of all 9 atoms:
La: 0.500 0.426 0.426
La: 0.500 0.000 0.574
Hg: 0.000 0.667 0.333
La: 0.500 0.574 0.000
Hg: 0.000 0.333 0.667
Hg: 0.500 0.000 0.000
Li: 0.000 0.772 0.772
Li: 0.000 0.000 0.228
Li: 0.000 0.228 0.000

The following is a DFT calculation (PBE) of a relaxed Zn2NiIr crystal.

## Properties
Total moment   0.000 μB per formula unit
Formation energy   -72 meV per atom
Space-group type   Cmmm
Volume   13.54 Å³/atom

a b c (Å): 2.683 2.683 8.342
angles (deg): 90.00 90.00 115.60
Fractional coordinates of all 4 atoms:
Zn: 0.000 0.000 0.512
Ni: 0.500 0.500 0.750
Ir: 0.500 0.500 0.250
Zn: 0.000 0.000 0.988

The following is a DFT calculation (PBE) of a relaxed CaErBr5 crystal.

## Properties
Total moment   0.000 μB per formula unit
Uncorrected formation energy   -179.6 kJ/mol of atoms
Space-group type   C2/c
Volume   39.24 Å³/atom

a b c (Å): 7.484 7.484 11.069
angles (deg): 106.44 109.17 95.50
Fractional coordinates of all 14 atoms:
Br: 0.732 0.164 0.856
Br: 0.268 0.836 0.144
Br: 0.744 0.213 0.504
Br: 0.710 0.741 0.996
Ca: 0.678 0.928 0.250
Ca: 0.322 0.072 0.750
Er: 0.000 0.500 0.500
Br: 0.021 0.771 0.750
Br: 0.256 0.787 0.496
Br: 0.979 0.229 0.250
Er: 0.000 0.000 0.000
Br: 0.290 0.259 0.004
Br: 0.309 0.377 0.644
Br: 0.691 0.623 0.356

The following is a DFT calculation (PBE) of a relaxed NaY5Tl3 crystal.

## Properties
Total moment   0.001 μB per formula unit
Formation energy   -283 meV per atom
Space-group type   P6_3/mcm
Volume   28.32 Å³/atom

a b c (Å): 6.713 9.363 9.363
angles (deg): 120.00 90.00 90.00
Fractional coordinates of all 18 atoms:
Tl: 0.250 0.000 0.349
Tl: 0.750 0.000 0.651
Na: 0.500 0.000 0.000
Y: 0.750 0.000 0.316
Tl: 0.750 0.651 0.000
Tl: 0.250 0.349 0.000
Y: 0.000 0.333 0.667
Y: 0.750 0.316 0.000
Y: 0.250 0.316 0.316
Y: 0.000 0.667 0.333
Y: 0.250 0.684 0.000
Na: 0.000 0.000 0.000
Y: 0.500 0.667 0.333
Y: 0.750 0.684 0.684
Tl: 0.750 0.349 0.349
Y: 0.500 0.333 0.667
Tl: 0.250 0.651 0.651
Y: 0.250 0.000 0.684

The following is a DFT calculation (PBE) of a relaxed Tb4InCu crystal.

## Properties
Total moment   0.000 μB per formula unit
Polymorph energy (0 for the lowest one)   3.568 kcal/mol of atoms
Formation energy   -60 meV per atom
Space-group type   P2_1/c
Volume   27.38 Å³/atom

a b c (Å): 5.995 9.027 6.333
angles (deg): 90.00 106.53 90.00
Fractional coordinates of all 12 atoms:
Tb: 0.377 0.331 0.397
Tb: 0.623 0.669 0.603
In: 0.000 0.000 0.000
Tb: 0.877 0.169 0.397
Tb: 0.062 0.655 0.125
In: 0.500 0.500 0.000
Tb: 0.562 0.845 0.125
Tb: 0.938 0.345 0.875
Tb: 0.123 0.831 0.603
Cu: 0.500 0.000 0.500
Cu: 0.000 0.500 0.500
Tb: 0.438 0.155 0.875

The following is a DFT calculation (PBE) of a relaxed Cs3GaBi4 crystal.

## Properties
Total moment   0.000 μB per formula unit
Formation energy   -278 meV per atom
Space-group type   Imm2
Volume   43.86 Å³/atom

a b c (Å): 7.951 7.951 7.951
angles (deg): 109.62 92.89 127.87
Fractional coordinates of all 8 atoms:
Cs: 0.571 0.769 0.340
Cs: 0.938 0.000 0.938
Ga: 0.011 0.500 0.511
Cs: 0.571 0.231 0.802
Bi: 0.230 0.315 0.545
Bi: 0.059 0.760 0.300
Bi: 0.540 0.240 0.300
Bi: 0.230 0.685 0.915

The following is a DFT calculation (PBE) of a relaxed BaZrTeO6 crystal.

## Properties
Total moment   0.000 μB per formula unit
Uncorrected formation energy   -222.3 kJ/mol of atoms
Space-group type   P-31c
Volume   16.80 Å³/atom

a b c (Å): 5.522 5.522 11.451
angles (deg): 90.00 90.00 120.00
Fractional coordinates of all 18 atoms:
O: 0.023 0.625 0.348
O: 0.375 0.398 0.348
O: 0.977 0.602 0.848
O: 0.375 0.977 0.152
Ba: 0.000 0.000 0.000
Ba: 0.000 0.000 0.500
Te: 0.667 0.333 0.750
O: 0.625 0.602 0.652
O: 0.023 0.398 0.152
Te: 0.333 0.667 0.250
O: 0.602 0.977 0.348
O: 0.398 0.023 0.652
Zr: 0.667 0.333 0.250
O: 0.398 0.375 0.848
O: 0.602 0.625 0.152
Zr: 0.333 0.667 0.750
O: 0.977 0.375 0.652
O: 0.625 0.023 0.848

The following is a DFT calculation (PBE) of a relaxed PrSe6Br12 crystal.

## Properties
Total moment   0.000 μB per formula unit
Uncorrected formation energy   -32.2 kJ/mol of atoms
Space-group type   R-3
Volume   38.51 Å³/atom

a b c (Å): 9.350 9.350 9.350
angles (deg): 73.38 73.38 73.38
Fractional coordinates of all 19 atoms:
Pr: 0.000 0.000 0.000
Se: 0.502 0.238 0.326
Br: 0.713 0.566 0.973
Br: 0.837 0.153 0.256
Se: 0.326 0.502 0.238
Br: 0.256 0.837 0.153
Br: 0.847 0.744 0.163
Br: 0.434 0.027 0.287
Br: 0.153 0.256 0.837
Br: 0.163 0.847 0.744
Br: 0.744 0.163 0.847
Br: 0.973 0.713 0.566
Se: 0.238 0.326 0.502
Br: 0.566 0.973 0.713
Br: 0.287 0.434 0.027
Se: 0.498 0.762 0.674
Se: 0.674 0.498 0.762
Se: 0.762 0.674 0.498
Br: 0.027 0.287 0.434